# 1
Here is MnBeNb2 after structural relaxation from the Alexandria database. Energies are from PBE.

Computed properties:
The calculation puts the formation energy at 1 meV/atom. The value obtained for the volume is 14.10 Å³ per atom. The calculation puts the magnetization at 0.0 μB per formula unit. The space group is No. 123.

Unit cell a=3.236 b=4.175 c=4.175 alpha=90.00 beta=90.00 gamma=90.00
Sites, in units of the cell vectors:
Nb 0.000 0.500 0.000
Nb 0.000 0.000 0.500
Mn 0.500 0.500 0.500
Be 0.500 0.000 0.000

=====

# 2
Here is LiCd9Ag2 after structural relaxation from the Alexandria database. Energies are from PBE.

Computed properties:
The calculation puts the formation energy at -61 meV/atom. The value obtained for the volume is 20.76 Å³ per atom. The calculation puts the magnetization at 0.0 μB per formula unit. The space group is No. 2.

Unit cell a=5.369 b=6.709 c=7.069 alpha=96.65 beta=82.52 gamma=97.32
Sites, in units of the cell vectors:
Cd 0.242 0.762 0.256
Cd 0.246 0.405 0.916
Cd 0.514 0.161 0.167
Cd 0.500 0.500 0.500
Cd 0.486 0.839 0.833
Cd 0.992 0.682 0.669
Cd 0.758 0.238 0.744
Cd 0.754 0.595 0.084
Cd 0.008 0.318 0.331
Li 0.000 0.000 0.000
Ag 0.747 0.914 0.414
Ag 0.253 0.086 0.586

=====

# 3
Here is TmCu2Ni3 after structural relaxation from the Alexandria database. Energies are from PBE.

Computed properties:
The calculation puts the formation energy at -155 meV/atom. The value obtained for the volume is 14.35 Å³ per atom. The calculation puts the magnetization at 0.0 μB per formula unit. The space group is No. 63.

Unit cell a=4.820 b=5.983 c=5.983 alpha=86.67 beta=90.00 gamma=90.00
Sites, in units of the cell vectors:
Tm 0.750 0.707 0.293
Tm 0.250 0.293 0.707
Cu 0.500 0.242 0.242
Cu 0.500 0.758 0.758
Cu 0.000 0.242 0.242
Cu 0.000 0.758 0.758
Ni 0.750 0.442 0.926
Ni 0.750 0.074 0.558
Ni 0.250 0.953 0.047
Ni 0.250 0.558 0.074
Ni 0.250 0.926 0.442
Ni 0.750 0.047 0.953

=====

# 4
Here is CaEr2N after structural relaxation from the Alexandria database. Energies are from PBE.

Computed properties:
The value obtained for the volume is 24.53 Å³ per atom. The calculation puts the magnetization at 0.4 μB per formula unit. The space group is No. 166. The uncorrected formation energy is -15.840 kcal/mol of atoms.

Unit cell a=3.477 b=3.477 c=9.583 alpha=79.55 beta=79.55 gamma=60.00
Sites, in units of the cell vectors:
Er 0.880 0.880 0.360
Er 0.120 0.120 0.640
N 0.500 0.500 0.500
Ca 0.000 0.000 0.000

=====

> Which of these has the highest volume?

CaEr2N

=====

> Which formula does entry 1 have?

MnBeNb2